Record 1
PBE CsS2I, optimized geometry; uncorrected formation energy = -0.059 eV per atom; M_tot = 0.0 Bohr magnetons per cell; theoretical density = 3.1 Mg/m³; E above lowest polymorph = 24.9 meV/atom; final energy = -10.89 eV for the cell shown
1.0
3.4304 -4.4834 3.4560
6.0799 0.7709 2.5006
1.6004 0.3590 6.4127
S I Cs
2 1 1
Direct
0.1516 0.1516 0.1516
0.8484 0.8484 0.8484
0.0000 0.0000 0.0000
0.5000 0.5000 0.5000



Record 2
PBE TiTcNi, optimized geometry; M_tot = 0.0 Bohr magnetons per cell; theoretical density = 8.1 Mg/m³; E above lowest polymorph = 151.6 meV/atom; final energy = -48.85 eV for the cell shown; formation enthalpy at 0 K = -0.127 eV/atom
1.0
-1.2047 1.1685 -3.2759
-2.7748 -2.4147 0.1350
-4.6064 3.9077 1.9846
Ti Tc Ni
2 2 2
Direct
0.8296 0.8296 0.7097
0.1704 0.1704 0.2903
0.6632 0.6632 0.3143
0.3368 0.3368 0.6857
0.7488 0.2512 0.0000
0.2512 0.7488 0.0000



Record 3
PBE CoTe2S, optimized geometry; uncorrected formation energy = 0.207 eV per atom; M_tot = 0.0 Bohr magnetons per cell; theoretical density = 5.4 Mg/m³; final energy = -33.38 eV for the cell shown
1.0
-0.3597 -2.8766 -5.3851
3.0429 -4.7611 2.3400
-3.6096 -6.1965 0.0782
Te Co S
4 2 2
Direct
0.8750 0.9364 0.7500
0.3750 0.3136 0.7500
0.0636 0.6250 0.2500
0.6864 0.1250 0.2500
0.7500 0.2500 0.5000
0.0000 0.0000 0.0000
0.2500 0.7500 0.5000
0.5000 0.5000 0.0000



Record 4
PBE LaReBr, optimized geometry; uncorrected formation energy = 0.599 eV per atom; M_tot = 1.3 Bohr magnetons per cell; theoretical density = 8.9 Mg/m³; E above lowest polymorph = 241.0 meV/atom; final energy = -17.25 eV for the cell shown
1.0
3.5247 0.0000 0.0000
-1.7624 3.0525 0.0000
0.0000 0.0000 7.0330
Br La Re
1 1 1
Direct
0.0000 0.0000 0.9989
0.3333 0.6667 0.3479
0.6667 0.3333 0.6531



Record 5
PBE Nd2CdN, optimized geometry; uncorrected formation energy = -0.747 eV per atom; M_tot = 0.4 Bohr magnetons per cell; theoretical density = 7.2 Mg/m³; E above lowest polymorph = 0.0 meV/atom; final energy = -21.76 eV for the cell shown
1.0
3.6563 0.0097 0.0136
1.8169 3.1730 0.0136
1.7983 1.0457 8.3026
Cd Nd N
1 2 1
Direct
0.5000 0.5000 0.5000
0.2769 0.2769 0.1686
0.7231 0.7231 0.8314
0.0000 0.0000 0.0000